LiY2AsO after structural relaxation. Source: Alexandria via LeMat-Bulk, functional GGA-PBE.

The structure in POSCAR format:
```
LiY2AsO
1.0
4.7374 0.0000 0.0000
0.0000 4.7374 0.0000
0.0000 0.0000 3.9208
Li Y As O
1 2 1 1
Direct
0.0000 0.0000 0.0000 Li
0.0000 0.5000 0.5000 Y
0.5000 0.0000 0.5000 Y
0.5000 0.5000 0.0000 As
0.0000 0.0000 0.5000 O
```

## Properties
Energy relative to the elements, uncorrected (eV/atom): -1.64
Spin magnetization (μB per cell): 0.0